(1)
PaSeBr after structural relaxation, computed with PBE.

abc: 5.056 5.060 7.497
angles: 90.00 109.11 90.00
Fractional positions:
Pa (0.250, 0.250, 0.000)
Pa (0.750, 0.750, 0.000)
Se (0.145, 0.750, 0.783)
Se (0.855, 0.250, 0.217)
Br (0.376, 0.750, 0.260)
Br (0.624, 0.250, 0.740)

Properties
**Crystal system**: monoclinic
**SG**: P2_1/m
**E above lowest polymorph**: 0.29 eV per formula unit


(2)
Pa2SeBr2 after structural relaxation, computed with PBE.

abc: 12.475 12.475 12.475
angles: 16.54 16.54 16.54
Fractional positions:
Pa (0.111, 0.111, 0.111)
Pa (0.889, 0.889, 0.889)
Se (0.500, 0.500, 0.500)
Br (0.280, 0.280, 0.280)
Br (0.720, 0.720, 0.720)

Properties
**Crystal system**: trigonal
**SG**: R-3m


Ordered formation energy (no corrections) results: -1.225, -1.165; unit eV/atom.